Record 1
The following is a DFT calculation (PBE) of crystalline Tb5NdTl4 at its relaxed geometry.

Summary:
Crystal system = tetragonal
Total DFT energy (no corrections) = -4.02 eV per atom
Total magnetization = 0.143 μB/f.u.
Energy relative to the elements = -0.281 eV/atom

a = 3.6183 Å, b = 3.6183 Å, c = 22.0518 Å
α = 90.00°, β = 90.00°, γ = 90.00°
With the nearest neighbours (Å) after each atom.
Positions (direct):
Tl (0.0000, 0.0000, 0.5958)  8 Tb 3.32, 4 Tl 3.62
Tl (0.0000, 0.0000, 0.7881)  8 Tb 3.30-3.32, 4 Tl 3.62
Tb (0.5000, 0.5000, 0.1171)  4 Tl 3.30, 4 Tb 3.62, 4 Nd 3.63
Tl (0.0000, 0.0000, 0.2119)  8 Tb 3.30-3.32, 4 Tl 3.62
Tl (0.0000, 0.0000, 0.4042)  8 Tb 3.32, 4 Tl 3.62
Tb (0.5000, 0.5000, 0.6920)  8 Tl 3.32, 4 Tb 3.62
Tb (0.5000, 0.5000, 0.3080)  8 Tl 3.32, 4 Tb 3.62
Nd (0.0000, 0.0000, 0.0000)  4 Nd 3.62, 8 Tb 3.63
Tb (0.5000, 0.5000, 0.8829)  4 Tl 3.30, 4 Tb 3.62, 4 Nd 3.63
Tb (0.5000, 0.5000, 0.5000)  8 Tl 3.32, 4 Tb 3.62

Record 2
The following is a DFT calculation (PBE) of crystalline SeN at its relaxed geometry.

Summary:
Crystal system = orthorhombic
Total DFT energy (no corrections) = -4.82 eV per atom
Total magnetization = 0.000 μB/f.u.
Uncorrected formation energy = 1083.5 meV/atom

a = 9.7567 Å, b = 2.8742 Å, c = 8.5829 Å
α = 90.00°, β = 90.00°, γ = 90.00°
With the nearest neighbours (Å) after each atom.
Positions (direct):
Se (0.6922, 0.5000, 0.7659)  2 N 1.89
N (0.5000, 0.0000, 0.0166)  2 Se 1.85
Se (0.3078, 0.5000, 0.7659)  2 N 1.89
N (0.0000, 0.5000, 0.5166)  2 Se 1.85
Se (0.1922, 0.0000, 0.2659)  2 N 1.89
N (0.7347, 0.5000, 0.1506)  2 Se 1.89
N (0.2653, 0.5000, 0.1506)  2 Se 1.89
Se (0.0000, 0.0000, 0.6526)  2 N 1.85
N (0.7653, 0.0000, 0.6506)  2 Se 1.89
N (0.2347, 0.0000, 0.6506)  2 Se 1.89
Se (0.8078, 0.0000, 0.2659)  2 N 1.89
Se (0.5000, 0.5000, 0.1526)  2 N 1.85

Record 3
The following is a DFT calculation (PBE) of crystalline Tb8HoSc6 at its relaxed geometry.

Summary:
Crystal system = trigonal
Total DFT energy (no corrections) = -5.12 eV per atom
Total magnetization = 0.000 μB/f.u.
Energy relative to the elements = 0.187 eV/atom

a = 9.4074 Å, b = 9.4074 Å, c = 7.8930 Å
α = 53.42°, β = 53.42°, γ = 60.00°
With the nearest neighbours (Å) after each atom.
Positions (direct):
Sc (0.7100, 0.3838, 0.9626)  4 Tb 3.03-3.34, 1 Ho 3.23, 3 Sc 3.25-3.30
Sc (0.9436, 0.7100, 0.9626)  4 Tb 3.03-3.34, 1 Ho 3.23, 3 Sc 3.25-3.30
Tb (0.5926, 0.5926, 0.2223)  3 Sc 3.03, 1 Tb 3.18
Sc (0.6162, 0.0564, 0.0374)  4 Tb 3.03-3.34, 1 Ho 3.23, 3 Sc 3.25-3.30
Tb (0.0650, 0.6381, 0.5248)  3 Sc 3.18-3.34, 4 Tb 3.54-3.56
Sc (0.2900, 0.6162, 0.0374)  4 Tb 3.03-3.34, 1 Ho 3.23, 3 Sc 3.25-3.30
Tb (0.4074, 0.4074, 0.7777)  3 Sc 3.03, 1 Tb 3.18
Tb (0.2279, 0.9350, 0.4752)  3 Sc 3.18-3.34, 4 Tb 3.54-3.56
Sc (0.3838, 0.9436, 0.9626)  4 Tb 3.03-3.34, 1 Ho 3.23, 3 Sc 3.25-3.30
Tb (0.6381, 0.7721, 0.5248)  3 Sc 3.18-3.34, 4 Tb 3.54-3.56
Tb (0.3619, 0.2279, 0.4752)  3 Sc 3.18-3.34, 4 Tb 3.54-3.56
Sc (0.0564, 0.2900, 0.0374)  4 Tb 3.03-3.34, 1 Ho 3.23, 3 Sc 3.25-3.30
Tb (0.9350, 0.3619, 0.4752)  3 Sc 3.18-3.34, 4 Tb 3.54-3.56
Tb (0.7721, 0.0650, 0.5248)  3 Sc 3.18-3.34, 4 Tb 3.54-3.56
Ho (0.0000, 0.0000, 0.0000)  6 Sc 3.23

Record 4
The following is a DFT calculation (PBE) of crystalline Tb2Pm5PrNd at its relaxed geometry.

Summary:
Crystal system = orthorhombic
Total DFT energy (no corrections) = -4.58 eV per atom
Total magnetization = 0.000 μB/f.u.
Energy relative to the elements = 0.145 eV/atom

a = 5.7304 Å, b = 10.5896 Å, c = 10.7205 Å
α = 90.00°, β = 90.00°, γ = 105.70°
With the nearest neighbours (Å) after each atom.
Positions (direct):
Nd (0.2018, 0.4036, 0.0106)  2 Tb 3.49-3.78, 8 Pm 3.55-3.87, 2 Pr 3.78
Pm (0.6086, 0.2172, 0.5259)  6 Pm 3.52-3.94, 4 Tb 3.60-3.62, 1 Nd 3.87
Pr (0.4145, 0.8291, 0.4501)  5 Pm 3.11-3.36
Pm (0.2969, 0.5938, 0.7058)  3 Pm 3.46-3.70, 3 Nd 3.55-3.80, 3 Tb 3.59-3.77, 1 Pr 3.64
Pm (0.5226, 0.0452, 0.2395)  2 Pr 3.15-3.36, 1 Pm 3.52
Pm (0.9833, 0.9666, 0.5251)  2 Pr 3.29, 2 Tb 3.44-3.48, 2 Pm 3.68
Nd (0.7982, 0.5964, 0.5106)  2 Tb 3.49-3.78, 8 Pm 3.55-3.87, 2 Pr 3.78
Pm (0.7031, 0.4062, 0.2058)  3 Pm 3.46-3.70, 3 Nd 3.55-3.80, 3 Tb 3.59-3.77, 1 Pr 3.64
Pm (0.3914, 0.7828, 0.0259)  6 Pm 3.52-3.94, 4 Tb 3.60-3.62, 1 Nd 3.87
Tb (0.8877, 0.7754, 0.2326)  7 Pm 3.44-3.77, 1 Nd 3.49, 2 Pr 3.73
Pm (0.4774, 0.9548, 0.7395)  2 Pr 3.15-3.36, 1 Pm 3.52
Pm (0.2808, 0.5616, 0.3107)  1 Pr 3.11, 1 Tb 3.34, 2 Pm 3.46
Tb (0.1169, 0.2338, 0.3238)  8 Pm 3.34-3.60
Pm (0.7192, 0.4384, 0.8107)  1 Pr 3.11, 1 Tb 3.34, 2 Pm 3.46
Tb (0.1123, 0.2246, 0.7326)  7 Pm 3.44-3.77, 1 Nd 3.49, 2 Pr 3.73
Pr (0.5855, 0.1709, 0.9501)  5 Pm 3.11-3.36
Tb (0.8831, 0.7662, 0.8238)  8 Pm 3.34-3.60
Pm (0.0167, 0.0334, 0.0251)  2 Pr 3.29, 2 Tb 3.44-3.48, 2 Pm 3.68

Q: Which of these has the highest total DFT energy (no corrections)?
A: Tb5NdTl4

Q: total DFT energy (no corrections) of number 2 (SeN)?
A: -4.82 eV per atom

Q: total DFT energy (no corrections) of number 4 (Tb2Pm5PrNd)?
A: -4.58 eV per atom

Q: What is the formula in the first record?
A: Tb5NdTl4